(1)
# CuNiCl2 PBE relaxed
# Theoretical density ... 4.16 g cm⁻³
# Magnetization ... 1.0 μB per formula unit
# Density of states at the Fermi level ... 0.2 states/eV/cell
data_CuNiCl2
_cell_length_a 4.267
_cell_length_b 3.397
_cell_length_c 5.324
_cell_angle_alpha 90.00
_cell_angle_beta 93.67
_cell_angle_gamma 90.00
_symmetry_space_group_name_H-M 'P 1 2/m 1'
_symmetry_Int_Tables_number 10
_symmetry_space_group_name_Hall '-P 2y'
loop_
_atom_site_label
_atom_site_type_symbol
_atom_site_fract_x
_atom_site_fract_y
_atom_site_fract_z
Cu1 Cu 0.000 0.000 0.000
Ni1 Ni 0.000 0.000 0.500
Cl1 Cl 0.241 0.500 0.742


(2)
# CuNiCl PBE relaxed
# Theoretical density ... 6.21 g cm⁻³
# Magnetization ... 0.0 μB per formula unit
# Density of states at the Fermi level ... 1.8 states/eV/cell
data_CuNiCl
_cell_length_a 3.9188
_cell_length_b 3.9188
_cell_length_c 3.1714
_cell_angle_alpha 90.00
_cell_angle_beta 90.00
_cell_angle_gamma 120.00
_symmetry_space_group_name_H-M 'P -6 m 2'
_symmetry_Int_Tables_number 187
_symmetry_space_group_name_Hall 'P -6 2'
loop_
_atom_site_label
_atom_site_type_symbol
_atom_site_fract_x
_atom_site_fract_y
_atom_site_fract_z
Cu1 Cu 0.0000 0.0000 0.0000
Ni1 Ni 0.6667 0.3333 0.5000
Cl1 Cl 0.3333 0.6667 0.5000


(3)
# CuNiCl2 PBE relaxed
# Theoretical density ... 4.17 g cm⁻³
# Magnetization ... 1.0 μB per formula unit
# Density of states at the Fermi level ... 7.2 states/eV/cell
data_CuNiCl2
_cell_length_a 3.229
_cell_length_b 3.384
_cell_length_c 14.087
_cell_angle_alpha 90.00
_cell_angle_beta 90.00
_cell_angle_gamma 90.00
_symmetry_space_group_name_H-M 'I m m 2'
_symmetry_Int_Tables_number 44
_symmetry_space_group_name_Hall 'I 2 -2'
loop_
_atom_site_label
_atom_site_type_symbol
_atom_site_fract_x
_atom_site_fract_y
_atom_site_fract_z
Cu1 Cu 0.000 0.000 0.000
Ni1 Ni 0.000 0.500 0.647
Cl1 Cl 0.000 0.000 0.449
Cl2 Cl 0.000 0.500 0.188


(4)
# CuNiCl2 PBE relaxed
# Theoretical density ... 3.70 g cm⁻³
# Magnetization ... 0.3 μB per formula unit
# Density of states at the Fermi level ... 8.4 states/eV/cell
data_CuNiCl2
_cell_length_a 3.727
_cell_length_b 6.492
_cell_length_c 7.162
_cell_angle_alpha 90.00
_cell_angle_beta 90.00
_cell_angle_gamma 90.00
_symmetry_space_group_name_H-M 'C m m 2'
_symmetry_Int_Tables_number 35
_symmetry_space_group_name_Hall 'C 2 -2'
loop_
_atom_site_label
_atom_site_type_symbol
_atom_site_fract_x
_atom_site_fract_y
_atom_site_fract_z
Cu1 Cu 0.000 0.000 0.000
Ni1 Ni 0.000 0.500 0.216
Cl1 Cl 0.000 0.000 0.365
Cl2 Cl 0.000 0.500 0.836


(5)
# Cu2NiCl PBE relaxed
# Theoretical density ... 6.31 g cm⁻³
# Magnetization ... 0.0 μB per formula unit
# Density of states at the Fermi level ... 4.3 states/eV/cell
data_Cu2NiCl
_cell_length_a 2.802
_cell_length_b 3.700
_cell_length_c 11.223
_cell_angle_alpha 90.00
_cell_angle_beta 90.00
_cell_angle_gamma 90.00
_symmetry_space_group_name_H-M 'I m m m'
_symmetry_Int_Tables_number 71
_symmetry_space_group_name_Hall '-I 2 2'
loop_
_atom_site_label
_atom_site_type_symbol
_atom_site_fract_x
_atom_site_fract_y
_atom_site_fract_z
Cu1 Cu 0.000 0.000 0.205
Ni1 Ni 0.000 0.500 0.500
Cl1 Cl 0.000 0.500 0.000


(6)
# CuNiCl2 PBE relaxed
# Theoretical density ... 5.18 g cm⁻³
# Magnetization ... 1.0 μB per formula unit
# Density of states at the Fermi level ... 2.5 states/eV/cell
data_CuNiCl2
_cell_length_a 4.444
_cell_length_b 4.444
_cell_length_c 3.137
_cell_angle_alpha 90.00
_cell_angle_beta 90.00
_cell_angle_gamma 90.00
_symmetry_space_group_name_H-M 'P 4/m m m'
_symmetry_Int_Tables_number 123
_symmetry_space_group_name_Hall '-P 4 2'
loop_
_atom_site_label
_atom_site_type_symbol
_atom_site_fract_x
_atom_site_fract_y
_atom_site_fract_z
Cu1 Cu 0.000 0.000 0.000
Ni1 Ni 0.500 0.500 0.000
Cl1 Cl 0.000 0.500 0.500


(7)
# CuNiCl4 PBE relaxed
# Theoretical density ... 3.44 g cm⁻³
# Magnetization ... 2.7 μB per formula unit
# Density of states at the Fermi level ... 12.9 states/eV/cell
data_CuNiCl4
_cell_length_a 6.817
_cell_length_b 6.856
_cell_length_c 10.913
_cell_angle_alpha 90.00
_cell_angle_beta 90.00
_cell_angle_gamma 90.00
_symmetry_space_group_name_H-M 'I m m a'
_symmetry_Int_Tables_number 74
_symmetry_space_group_name_Hall '-I 2b 2'
loop_
_atom_site_label
_atom_site_type_symbol
_atom_site_fract_x
_atom_site_fract_y
_atom_site_fract_z
Cu1 Cu 0.250 0.250 0.250
Ni1 Ni 0.000 0.000 0.000
Cl1 Cl 0.000 0.017 0.227
Cl2 Cl 0.235 0.250 0.995


(8)
# CuNiCl6 PBE relaxed
# Theoretical density ... 2.74 g cm⁻³
# Magnetization ... 1.4 μB per formula unit
# Density of states at the Fermi level ... 11.7 states/eV/cell
data_CuNiCl6
_cell_length_a 6.691
_cell_length_b 10.518
_cell_length_c 6.613
_cell_angle_alpha 90.00
_cell_angle_beta 119.37
_cell_angle_gamma 90.00
_symmetry_space_group_name_H-M 'C 1 2/m 1'
_symmetry_Int_Tables_number 12
_symmetry_space_group_name_Hall '-C 2y'
loop_
_atom_site_label
_atom_site_type_symbol
_atom_site_fract_x
_atom_site_fract_y
_atom_site_fract_z
Cu1 Cu 0.000 0.000 0.000
Ni1 Ni 0.000 0.000 0.500
Cl1 Cl 0.005 0.147 0.247
Cl2 Cl 0.121 0.500 0.306


(9)
# CuNiCl2 PBE relaxed
# Theoretical density ... 4.12 g cm⁻³
# Magnetization ... 1.0 μB per formula unit
# Density of states at the Fermi level ... 12.3 states/eV/cell
data_CuNiCl2
_cell_length_a 3.5965
_cell_length_b 3.5965
_cell_length_c 20.8529
_cell_angle_alpha 90.00
_cell_angle_beta 90.00
_cell_angle_gamma 120.00
_symmetry_space_group_name_H-M 'R -3 m'
_symmetry_Int_Tables_number 166
_symmetry_space_group_name_Hall '-R 3 2"'
loop_
_atom_site_label
_atom_site_type_symbol
_atom_site_fract_x
_atom_site_fract_y
_atom_site_fract_z
Cu1 Cu 0.0000 0.0000 0.0000
Ni1 Ni 0.0000 0.0000 0.5000
Cl1 Cl 0.0000 0.0000 0.1030


(10)
# CuNiCl2 PBE relaxed
# Theoretical density ... 4.18 g cm⁻³
# Magnetization ... 1.0 μB per formula unit
data_CuNiCl2
_cell_length_a 8.723
_cell_length_b 3.403
_cell_length_c 5.259
_cell_angle_alpha 90.00
_cell_angle_beta 100.28
_cell_angle_gamma 90.00
_symmetry_space_group_name_H-M 'C 1 2/m 1'
_symmetry_Int_Tables_number 12
_symmetry_space_group_name_Hall '-C 2y'
loop_
_atom_site_label
_atom_site_type_symbol
_atom_site_fract_x
_atom_site_fract_y
_atom_site_fract_z
Cu1 Cu 0.000 0.000 0.000
Ni1 Ni 0.000 0.500 0.500
Cl1 Cl 0.151 0.000 0.718


(11)
# Cu2NiCl PBE relaxed
# Theoretical density ... 6.62 g cm⁻³
# Magnetization ... 0.0 μB per formula unit
# Density of states at the Fermi level ... 5.2 states/eV/cell
data_Cu2NiCl
_cell_length_a 3.440
_cell_length_b 3.440
_cell_length_c 9.384
_cell_angle_alpha 90.00
_cell_angle_beta 90.00
_cell_angle_gamma 90.00
_symmetry_space_group_name_H-M 'I 4/m m m'
_symmetry_Int_Tables_number 139
_symmetry_space_group_name_Hall '-I 4 2'
loop_
_atom_site_label
_atom_site_type_symbol
_atom_site_fract_x
_atom_site_fract_y
_atom_site_fract_z
Cu1 Cu 0.000 0.500 0.250
Ni1 Ni 0.000 0.000 0.000
Cl1 Cl 0.000 0.000 0.500


(12)
# CuNiCl2 PBE relaxed
# Theoretical density ... 4.08 g cm⁻³
# Magnetization ... 0.9 μB per formula unit
# Density of states at the Fermi level ... 3.7 states/eV/cell
data_CuNiCl2
_cell_length_a 3.339
_cell_length_b 3.367
_cell_length_c 6.990
_cell_angle_alpha 90.00
_cell_angle_beta 90.00
_cell_angle_gamma 90.00
_symmetry_space_group_name_H-M 'P m m m'
_symmetry_Int_Tables_number 47
_symmetry_space_group_name_Hall '-P 2 2'
loop_
_atom_site_label
_atom_site_type_symbol
_atom_site_fract_x
_atom_site_fract_y
_atom_site_fract_z
Cu1 Cu 0.000 0.000 0.000
Ni1 Ni 0.500 0.000 0.500
Cl1 Cl 0.000 0.500 0.500
Cl2 Cl 0.500 0.500 0.000


| no. | ΔE_f (raw) (eV per atom) |
| --- | --- |
| 1 | -0.111 |
| 2 | 0.381 |
| 3 | -0.084 |
| 4 | -0.154 |
| 5 | 0.343 |
| 6 | 0.221 |
| 7 | -0.507 |
| 8 | -0.348 |
| 9 | -0.116 |
| 10 | -0.208 |
| 11 | 0.450 |
| 12 | -0.018 |